A plane-wave DFT calculation with PBE with a Hubbard U was carried out for TlWSeF2 after structural relaxation.

calculated total energy	-23.70	eV per cell

Geometry as CIF:
```
data_TlWSeF2
_chemical_formula_sum 'Tl1 W1 Se1 F2'
_cell_length_a 4.4107
_cell_length_b 4.4107
_cell_length_c 5.3446
_cell_angle_alpha 90.00
_cell_angle_beta 90.00
_cell_angle_gamma 90.00
_symmetry_space_group_name_H-M 'P 4/m m m'
_symmetry_Int_Tables_number 123
_symmetry_space_group_name_Hall '-P 4 2'
loop_
_atom_site_label
_atom_site_fract_x
_atom_site_fract_y
_atom_site_fract_z
Tl1 0.0000 0.0000 0.0000
W1 0.5000 0.5000 0.5000
Se1 0.5000 0.5000 0.0000
F1 0.0000 0.5000 0.5000
```